# 1
# InHRu3

A crystal of InHRu3 relaxed with PBEsol (meta-GGA SCAN, Alexandria).

Geometry as extended XYZ:
```
5
Lattice="-3.788 2.955 0.794 0.100 -1.144 4.733 3.058 3.698 0.829" Properties=species:S:1:pos:R:3 pbc="T T T"
Ru 0.050 -0.572 2.366
Ru -1.894 1.478 0.397
Ru 1.529 1.849 0.415
In 0.000 0.000 0.000
H -0.315 2.754 3.178
```

- Crystal system: cubic
- SG: Pm-3m, No. 221
- Total DFT energy (no corrections): -127.83 eV/cell


# 2
# Hf2ZrGa2

A crystal of Hf2ZrGa2 relaxed with PBEsol (meta-GGA SCAN, Alexandria).

Geometry as extended XYZ:
```
10
Lattice="3.510 0.000 0.000 0.000 7.314 0.000 0.000 0.000 7.314" Properties=species:S:1:pos:R:3 pbc="T T T"
Ga 0.000 6.423 4.548
Ga 0.000 2.766 6.423
Ga 0.000 0.891 2.766
Ga 0.000 4.548 0.891
Hf 1.755 4.957 6.015
Hf 1.755 1.300 4.957
Hf 1.755 6.015 2.357
Hf 1.755 2.357 1.300
Zr 0.000 0.000 0.000
Zr 0.000 3.657 3.657
```

- E_form: -2.8 eV per formula unit
- Crystal system: tetragonal
- SG: P4/mbm, No. 127
- Total DFT energy (no corrections): -383.02 eV/cell


no.,total magnetic moment (Bohr magnetons per cell)
1,6.0
2,0.0